# La4CdSi

A geometry-optimized La4CdSi structure (PBE-GGA, the Alexandria database).

Cell lengths 10.2510, 10.2510, 10.2510 Å; angles 60.00, 60.00, 60.00 degrees
Closest atoms and distances in Å follow each position.
Fractional coordinates of all 24 atoms:
La 0.1880 0.1880 0.8120  2 Si 3.04
La 0.1880 0.8120 0.1880  2 Si 3.04
La 0.1880 0.8120 0.8120  2 Si 3.04
La 0.3572 0.3572 0.3572  3 Si 3.07
La 0.3572 0.3572 0.9284  3 Si 3.07
La 0.3572 0.9284 0.3572  3 Si 3.07
La 0.5614 0.5614 0.9386  2 Cd 3.49, 2 Si 3.69, 10 La 3.69-3.87
La 0.5614 0.9386 0.5614  2 Cd 3.49, 2 Si 3.69, 10 La 3.69-3.87
La 0.5614 0.9386 0.9386  2 Cd 3.49, 2 Si 3.69, 10 La 3.69-3.87
La 0.8120 0.1880 0.1880  2 Si 3.04
La 0.8120 0.1880 0.8120  2 Si 3.04
La 0.8120 0.8120 0.1880  2 Si 3.04
La 0.9284 0.3572 0.3572  3 Si 3.07
La 0.9386 0.5614 0.5614  2 Cd 3.49, 2 Si 3.69, 10 La 3.69-3.87
La 0.9386 0.5614 0.9386  2 Cd 3.49, 2 Si 3.69, 10 La 3.69-3.87
La 0.9386 0.9386 0.5614  2 Cd 3.49, 2 Si 3.69, 10 La 3.69-3.87
Cd 0.2596 0.5801 0.5801  3 Cd 3.29, 6 La 3.48-3.49
Cd 0.5801 0.2596 0.5801  3 Cd 3.29, 6 La 3.48-3.49
Cd 0.5801 0.5801 0.2596  3 Cd 3.29, 6 La 3.48-3.49
Cd 0.5801 0.5801 0.5801  3 Cd 3.29, 6 La 3.48-3.49
Si 0.1454 0.1454 0.1454  6 La 3.04-3.07
Si 0.1454 0.1454 0.5637  6 La 3.04-3.07
Si 0.1454 0.5637 0.1454  6 La 3.04-3.07
Si 0.5637 0.1454 0.1454  6 La 3.04-3.07

Results
ρ (g cm⁻³): 6.07
Space-group type: F-43m (216)
E_form (uncorrected) (eV per atom): -0.3272
E above lowest polymorph (meV per atom): 0
Magnetization (μB/cell): 0.01

=====

# LaCdSi2

A geometry-optimized LaCdSi2 structure (PBE-GGA, the Alexandria database).

Cell lengths 3.4843, 3.4843, 7.2195 Å; angles 90.00, 90.00, 90.00 degrees
Closest atoms and distances in Å follow each position.
Fractional coordinates of all 4 atoms:
La 0.0000 0.0000 0.0000  5 Si 2.98-3.22
Cd 0.5000 0.5000 0.6662  5 Si 2.74-3.07
Si 0.0000 0.0000 0.4125  4 Si 2.63
Si 0.5000 0.5000 0.2862  4 Si 2.63, 1 Cd 2.74

Results
ρ (g cm⁻³): 5.83
Space-group type: P4mm (99)
E_form (uncorrected) (eV per atom): -0.1121
Magnetization (μB/cell): 0.00

=====

> Among the records above, which one has the lowest magnetization?

LaCdSi2